1.
! YMg2Cu2 | Alexandria via LeMat-Bulk | PBE-GGA | optimized geometry; values from VASP
&SYSTEM
  ibrav = 0, nat = 10, ntyp = 3
/
ATOMIC_SPECIES
Y 88.91 Y.upf
Mg 24.30 Mg.upf
Cu 63.55 Cu.upf
CELL_PARAMETERS angstrom
7.9729 0.0000 0.0000
0.0000 7.9729 0.0000
0.0000 0.0000 2.9441
ATOMIC_POSITIONS crystal
Y 0.0000 0.0000 0.0000
Y 0.5000 0.5000 0.0000
Mg 0.1260 0.3740 0.0000
Mg 0.3740 0.8740 0.0000
Mg 0.6260 0.1260 0.0000
Mg 0.8740 0.6260 0.0000
Cu 0.1715 0.6715 0.5000
Cu 0.3285 0.1715 0.5000
Cu 0.6715 0.8285 0.5000
Cu 0.8285 0.3285 0.5000
! - D(E_F): 0.72 states/eV/atom
! - Energy above the most stable polymorph in this dataset: 0.140 eV per atom
! - ΔH_f (0 K): -0.013 eV per atom

2.
! MnVBiPd2 | Alexandria via LeMat-Bulk | PBE-GGA | optimized geometry; values from VASP
&SYSTEM
  ibrav = 0, nat = 5, ntyp = 4
/
ATOMIC_SPECIES
Mn 54.94 Mn.upf
V 50.94 V.upf
Bi 208.98 Bi.upf
Pd 106.42 Pd.upf
CELL_PARAMETERS angstrom
4.8195 0.0000 0.0000
0.0000 4.8195 0.0000
0.0000 0.0000 4.0660
ATOMIC_POSITIONS crystal
Mn 0.0000 0.0000 0.0000
V 0.0000 0.0000 0.5000
Bi 0.5000 0.5000 0.5000
Pd 0.0000 0.5000 0.0000
Pd 0.5000 0.0000 0.0000
! - D(E_F): 1.28 states/eV/atom
! - ΔH_f (0 K): 0.582 eV per atom

3.
! Be2InTc2 | Alexandria via LeMat-Bulk | PBE-GGA | optimized geometry; values from VASP
&SYSTEM
  ibrav = 0, nat = 10, ntyp = 3
/
ATOMIC_SPECIES
Be 9.01 Be.upf
In 114.82 In.upf
Tc 98.00 Tc.upf
CELL_PARAMETERS angstrom
6.2718 0.0000 0.0000
0.0000 6.2718 0.0000
0.0000 0.0000 3.2384
ATOMIC_POSITIONS crystal
Be 0.1162 0.3838 0.0000
Be 0.3838 0.8838 0.0000
Be 0.6162 0.1162 0.0000
Be 0.8838 0.6162 0.0000
In 0.0000 0.0000 0.0000
In 0.5000 0.5000 0.0000
Tc 0.1699 0.6699 0.5000
Tc 0.3301 0.1699 0.5000
Tc 0.6699 0.8301 0.5000
Tc 0.8301 0.3301 0.5000
! - D(E_F): 0.75 states/eV/atom
! - Energy above the most stable polymorph in this dataset: 0.000 eV per atom
! - ΔH_f (0 K): -0.066 eV per atom

4.
! LiPr2Th | Alexandria via LeMat-Bulk | PBE-GGA | optimized geometry; values from VASP
&SYSTEM
  ibrav = 0, nat = 4, ntyp = 3
/
ATOMIC_SPECIES
Li 6.94 Li.upf
Pr 140.91 Pr.upf
Th 232.04 Th.upf
CELL_PARAMETERS angstrom
3.6722 0.0000 0.0000
0.0000 3.6722 0.0000
0.0000 0.0000 9.2518
ATOMIC_POSITIONS crystal
Li 0.0000 0.0000 0.0000
Pr 0.5000 0.5000 0.2392
Pr 0.5000 0.5000 0.7608
Th 0.0000 0.0000 0.5000
! - D(E_F): 0.95 states/eV/atom
! - Energy above the most stable polymorph in this dataset: 0.000 eV per atom
! - ΔH_f (0 K): 0.036 eV per atom

5.
! CoS2 | Alexandria via LeMat-Bulk | PBE-GGA | optimized geometry; values from VASP
&SYSTEM
  ibrav = 0, nat = 3, ntyp = 2
/
ATOMIC_SPECIES
Co 58.93 Co.upf
S 32.06 S.upf
CELL_PARAMETERS angstrom
1.7109 0.9878 4.8628
-1.7109 0.9878 4.8628
0.0000 -1.9756 4.8628
ATOMIC_POSITIONS crystal
Co 0.0000 0.0000 0.0000
S 0.4069 0.4069 0.4069
S 0.5931 0.5931 0.5931
! - D(E_F): 0.53 states/eV/atom
! - Formation energy from raw total energies: -279 meV per atom

6.
! Pr2Pd4Pt | Alexandria via LeMat-Bulk | PBE-GGA | optimized geometry; values from VASP
&SYSTEM
  ibrav = 0, nat = 14, ntyp = 3
/
ATOMIC_SPECIES
Pr 140.91 Pr.upf
Pd 106.42 Pd.upf
Pt 195.08 Pt.upf
CELL_PARAMETERS angstrom
7.6836 0.0000 0.0000
0.0000 7.6836 0.0000
0.0000 0.0000 5.0634
ATOMIC_POSITIONS crystal
Pr 0.1877 0.1877 0.0000
Pr 0.3123 0.6877 0.5000
Pr 0.6877 0.3123 0.5000
Pr 0.8123 0.8123 0.0000
Pd 0.0800 0.3484 0.5000
Pd 0.1516 0.5800 0.0000
Pd 0.3484 0.0800 0.5000
Pd 0.4200 0.8484 0.0000
Pd 0.5800 0.1516 0.0000
Pd 0.6516 0.9200 0.5000
Pd 0.8484 0.4200 0.0000
Pd 0.9200 0.6516 0.5000
Pt 0.0000 0.0000 0.5000
Pt 0.5000 0.5000 0.0000
! - D(E_F): 0.30 states/eV/atom
! - ΔH_f (0 K): -0.661 eV per atom

7.
! K8Zr6BeBr20 | Alexandria via LeMat-Bulk | PBE-GGA | optimized geometry; values from VASP
&SYSTEM
  ibrav = 0, nat = 35, ntyp = 4
/
ATOMIC_SPECIES
K 39.10 K.upf
Zr 91.22 Zr.upf
Be 9.01 Be.upf
Br 79.90 Br.upf
CELL_PARAMETERS angstrom
0.0000 8.3146 8.3146
8.3146 0.0000 8.3146
8.3146 8.3146 0.0000
ATOMIC_POSITIONS crystal
K 0.1395 0.1395 0.1395
K 0.1395 0.1395 0.5815
K 0.1395 0.5815 0.1395
K 0.4185 0.8605 0.8605
K 0.5815 0.1395 0.1395
K 0.8605 0.4185 0.8605
K 0.8605 0.8605 0.4185
K 0.8605 0.8605 0.8605
Zr 0.3561 0.3561 0.6439
Zr 0.3561 0.6439 0.3561
Zr 0.3561 0.6439 0.6439
Zr 0.6439 0.3561 0.3561
Zr 0.6439 0.3561 0.6439
Zr 0.6439 0.6439 0.3561
Be 0.5000 0.5000 0.5000
Br 0.1718 0.5000 0.5000
Br 0.1718 0.5000 0.8282
Br 0.1718 0.8282 0.5000
Br 0.1819 0.1819 0.8181
Br 0.1819 0.8181 0.1819
Br 0.1819 0.8181 0.8181
Br 0.2500 0.2500 0.2500
Br 0.5000 0.1718 0.5000
Br 0.5000 0.1718 0.8282
Br 0.5000 0.5000 0.1718
Br 0.5000 0.5000 0.8282
Br 0.5000 0.8282 0.1718
Br 0.5000 0.8282 0.5000
Br 0.7500 0.7500 0.7500
Br 0.8181 0.1819 0.1819
Br 0.8181 0.1819 0.8181
Br 0.8181 0.8181 0.1819
Br 0.8282 0.1718 0.5000
Br 0.8282 0.5000 0.1718
Br 0.8282 0.5000 0.5000
! - Formation energy from raw total energies: -1510 meV per atom

8.
! ScAgPt2 | Alexandria via LeMat-Bulk | PBE-GGA | optimized geometry; values from VASP
&SYSTEM
  ibrav = 0, nat = 4, ntyp = 3
/
ATOMIC_SPECIES
Sc 44.96 Sc.upf
Ag 107.87 Ag.upf
Pt 195.08 Pt.upf
CELL_PARAMETERS angstrom
3.0018 0.0000 0.0000
0.0000 4.0530 0.0000
-0.0455 0.0000 5.6155
ATOMIC_POSITIONS crystal
Sc 0.0000 0.0000 0.0000
Ag 0.5003 0.5000 0.2830
Pt 0.0017 0.0000 0.5109
Pt 0.4982 0.5000 0.7834
! - D(E_F): 0.38 states/eV/atom
! - ΔH_f (0 K): -0.607 eV per atom

Number 1: size of the total moment 0.0 Bohr magnetons per cell. Number 2: size of the total moment 0.2 Bohr magnetons per cell. Number 3: size of the total moment 0.0 Bohr magnetons per cell. Number 4: size of the total moment 0.0 Bohr magnetons per cell. Number 5: size of the total moment 0.0 Bohr magnetons per cell. Number 6: size of the total moment 0.0 Bohr magnetons per cell. Number 7: size of the total moment 0.0 Bohr magnetons per cell. Number 8: size of the total moment 0.0 Bohr magnetons per cell.